# DyHg2

A relaxed DyHg2 crystal (GGA-PBE, Alexandria).

Lattice parameters (Å, degrees): 5.1692 5.1692 6.3381 90.00 90.00 120.00
Fractional coordinates of all 6 atoms:
Dy (0.3333, 0.6667, 0.2500)
Dy (0.6667, 0.3333, 0.7500)
Hg (0.0000, 0.0000, 0.0000)
Hg (0.0000, 0.0000, 0.5000)
Hg (0.3333, 0.6667, 0.7500)
Hg (0.6667, 0.3333, 0.2500)

- Fermi-level density of states (states/eV per cell) = 2.64
- energy of formation (eV/atom) = -0.4109
- symmetry = P6_3/mmc
- VASP energy (eV per atom) = -2.15